Entry from Alexandria: a geometry-optimized RbTaS3 structure (PBE).

Cell: 7.037 6.552 7.296 Å, 90.00 110.98 90.00°
Sites, in units of the cell vectors:
Rb1 0.203 0.250 0.314
Rb2 0.797 0.750 0.686
Ta1 0.428 0.750 0.039
Ta2 0.572 0.250 0.961
S1 0.168 0.750 0.144
S2 0.342 0.506 0.767
S3 0.342 0.994 0.767
S4 0.658 0.006 0.233
S5 0.658 0.494 0.233
S6 0.832 0.250 0.856

Output
**Size of the total moment**: 0.00 μB per atom
**Crystal system**: monoclinic
**Theoretical density**: 3.834 Mg/m³
**VASP energy**: -30.90 eV/f.u.
**Uncorrected formation energy**: -1139 meV/atom

***

Entry from Alexandria: a geometry-optimized Rb2TaS4 structure (PBE).

Cell: 9.028 9.028 9.028 Å, 148.36 148.36 45.35°
Sites, in units of the cell vectors:
Rb1 0.148 0.148 0.000
Rb2 0.852 0.852 0.000
Ta1 0.500 0.500 0.000
S1 0.000 0.500 0.500
S2 0.356 0.356 0.000
S3 0.500 0.000 0.500
S4 0.644 0.644 0.000

Output
**Size of the total moment**: 0.14 μB per atom
**Crystal system**: tetragonal
**Theoretical density**: 3.951 Mg/m³
**VASP energy**: -36.81 eV/f.u.
**DOS(E_F)**: 4.853 states/eV/cell
**Uncorrected formation energy**: -930 meV/atom

***

Entry from Alexandria: a geometry-optimized Rb2Ta4S7 structure (PBE).

Cell: 6.036 6.036 8.192 Å, 90.33 90.27 110.27°
Sites, in units of the cell vectors:
Rb1 0.166 0.335 0.000
Rb2 0.834 0.665 0.000
Ta1 0.222 0.278 0.500
Ta2 0.497 0.997 0.314
Ta3 0.503 0.003 0.686
Ta4 0.778 0.722 0.500
S1 0.089 0.953 0.698
S2 0.157 0.656 0.372
S3 0.453 0.589 0.698
S4 0.500 0.000 0.000
S5 0.547 0.411 0.302
S6 0.843 0.344 0.628
S7 0.911 0.047 0.302

Output
**Size of the total moment**: 0.00 μB per atom
**Crystal system**: triclinic
**Theoretical density**: 6.638 Mg/m³
**VASP energy**: -89.12 eV/f.u.
**DOS(E_F)**: 2.715 states/eV/cell
**Uncorrected formation energy**: -837 meV/atom

***

Entry from Alexandria: a geometry-optimized RbTaS2 structure (PBE).

Cell: 7.453 7.453 7.453 Å, 126.43 126.43 79.17°
Sites, in units of the cell vectors:
Rb1 0.000 0.000 0.000
Rb2 0.750 0.250 0.500
Ta1 0.250 0.750 0.500
Ta2 0.500 0.500 0.000
S1 0.263 0.625 0.138
S2 0.375 0.513 0.638
S3 0.487 0.125 0.862
S4 0.875 0.737 0.362

Output
**Size of the total moment**: 0.00 μB per atom
**Crystal system**: tetragonal
**Theoretical density**: 4.236 Mg/m³
**VASP energy**: -23.94 eV/f.u.
**DOS(E_F)**: 5.089 states/eV/cell
**Uncorrected formation energy**: -717 meV/atom

***

Copy entry 4 word for word.
Entry from Alexandria: a geometry-optimized RbTaS2 structure (PBE).

Cell: 7.453 7.453 7.453 Å, 126.43 126.43 79.17°
Sites, in units of the cell vectors:
Rb1 0.000 0.000 0.000
Rb2 0.750 0.250 0.500
Ta1 0.250 0.750 0.500
Ta2 0.500 0.500 0.000
S1 0.263 0.625 0.138
S2 0.375 0.513 0.638
S3 0.487 0.125 0.862
S4 0.875 0.737 0.362

Output
**Size of the total moment**: 0.00 μB per atom
**Crystal system**: tetragonal
**Theoretical density**: 4.236 Mg/m³
**VASP energy**: -23.94 eV/f.u.
**DOS(E_F)**: 5.089 states/eV/cell
**Uncorrected formation energy**: -717 meV/atom

***

Question: Which of these has the lowest uncorrected formation energy?
Answer: RbTaS3

***

Question: Look up the uncorrected formation energy of the second one.
Answer: -930 meV/atom